Entry 1:
The following is a PBE-GGA calculation of a relaxed ErBi crystal, from OQMD via LeMat-Bulk.

abc: 6.2698 6.2698 6.2698
angles: 90.00 90.00 90.00
With the nearest neighbours (Å) after each atom.
Space group Fm-3m (No. 225)
One atom of each set of equivalent atoms:
Er 0.0000 0.0000 0.0000 (multiplicity 4)  6 Bi 3.13
Bi 0.0000 0.0000 0.5000 (multiplicity 4)  6 Er 3.13

Calculated volume ... 246.5 Å³ per cell
Energy ... -41.08 eV per cell

Entry 2:
The following is a PBE-GGA calculation of a relaxed HoEr6Lu crystal, from OQMD via LeMat-Bulk.

abc: 7.1343 7.1343 5.5208
angles: 90.00 90.00 120.00
With the nearest neighbours (Å) after each atom.
Space group P-6m2 (No. 187)
One atom of each set of equivalent atoms:
Ho 0.0000 0.0000 0.0000 (multiplicity 1)  12 Er 3.44-3.57
Er 0.9998 0.4999 0.0000 (multiplicity 3)  8 Er 3.44-3.57, 2 Lu 3.44, 2 Ho 3.57
Er 0.3330 0.1665 0.5000 (multiplicity 3)  2 Ho 3.44, 8 Er 3.44-3.57, 2 Lu 3.57
Lu 0.3333 0.6667 0.5000 (multiplicity 1)  12 Er 3.44-3.57

Calculated volume ... 243.4 Å³ per cell
Energy ... -36.48 eV per cell
E_form ... 0.00 eV/atom

Entry 3:
The following is a PBE-GGA calculation of a relaxed LaNpTe crystal, from OQMD via LeMat-Bulk.

abc: 7.4014 7.4014 7.4014
angles: 90.00 90.00 90.00
With the nearest neighbours (Å) after each atom.
Space group F-43m (No. 216)
One atom of each set of equivalent atoms:
La 0.0000 0.0000 0.0000 (multiplicity 4)  4 Te 3.20
Np 0.0000 0.0000 0.5000 (multiplicity 4)  4 Te 3.20
Te 0.2500 0.2500 0.2500 (multiplicity 4)  4 La 3.20, 4 Np 3.20

Calculated volume ... 405.5 Å³ per cell
Energy ... -85.27 eV per cell
Relative energy among the computed polymorphs ... 0 meV/atom

Entry 4:
The following is a PBE-GGA calculation of a relaxed Pm5SmTl3 crystal, from OQMD via LeMat-Bulk.

abc: 9.5755 9.5755 6.8784
angles: 90.00 90.00 120.00
With the nearest neighbours (Å) after each atom.
Space group P6_3/mcm (No. 193)
One atom of each set of equivalent atoms:
Pm 0.0000 0.3339 0.2500 (multiplicity 6)  5 Tl 3.19-3.44
Pm 0.3333 0.6667 0.0000 (multiplicity 4)  8 Pm 3.44-3.62, 6 Tl 3.63
Sm 0.0000 0.0000 0.0000 (multiplicity 2)  2 Sm 3.44, 6 Tl 3.62, 6 Pm 3.63
Tl 0.0000 0.3322 0.7500 (multiplicity 6)  5 Pm 3.19-3.44

Calculated volume ... 546.1 Å³ per cell
Energy ... -75.96 eV per cell

Entry 5:
The following is a PBE-GGA calculation of a relaxed NbCoCuGe crystal, from OQMD via LeMat-Bulk.

abc: 6.0235 6.0235 6.0235
angles: 90.00 90.00 90.00
With the nearest neighbours (Å) after each atom.
Space group F-43m (No. 216)
One atom of each set of equivalent atoms:
Nb 0.0000 0.0000 0.0000 (multiplicity 4)  4 Cu 2.61, 4 Co 2.61
Co 0.2500 0.2500 0.7500 (multiplicity 4)  4 Ge 2.61, 4 Nb 2.61
Cu 0.2500 0.2500 0.2500 (multiplicity 4)  4 Ge 2.61, 4 Nb 2.61
Ge 0.0000 0.0000 0.5000 (multiplicity 4)  4 Co 2.61, 4 Cu 2.61

Calculated volume ... 218.5 Å³ per cell
Energy ... -102.69 eV per cell
Relative energy among the computed polymorphs ... 0 meV/atom

Entry 6:
The following is a PBE-GGA calculation of a relaxed CoSiOsW crystal, from OQMD via LeMat-Bulk.

abc: 6.0111 6.0111 6.0111
angles: 90.00 90.00 90.00
With the nearest neighbours (Å) after each atom.
Space group F-43m (No. 216)
One atom of each set of equivalent atoms:
Co 0.0000 0.0000 0.0000 (multiplicity 4)  4 W 2.60, 4 Si 2.60
Si 0.2500 0.2500 0.7500 (multiplicity 4)  4 Co 2.60, 4 Os 2.60
Os 0.0000 0.0000 0.5000 (multiplicity 4)  4 W 2.60, 4 Si 2.60
W 0.2500 0.2500 0.2500 (multiplicity 4)  4 Co 2.60, 4 Os 2.60

Calculated volume ... 217.2 Å³ per cell
Energy ... -146.18 eV per cell
Relative energy among the computed polymorphs ... 0 meV/atom

Entry 7:
The following is a PBE-GGA calculation of a relaxed AlHgPb2 crystal, from OQMD via LeMat-Bulk.

abc: 7.5527 7.5527 7.5527
angles: 90.00 90.00 90.00
With the nearest neighbours (Å) after each atom.
Space group F-43m (No. 216)
One atom of each set of equivalent atoms:
Al 0.0000 0.0000 0.0000 (multiplicity 4)  4 Pb 3.27, 4 Hg 3.27
Hg 0.2500 0.2500 0.2500 (multiplicity 4)  4 Pb 3.27, 4 Al 3.27
Pb 0.0000 0.0000 0.5000 (multiplicity 4)  4 Hg 3.27, 4 Pb 3.27
Pb 0.2500 0.2500 0.7500 (multiplicity 4)  4 Pb 3.27, 4 Al 3.27

Calculated volume ... 430.8 Å³ per cell
Energy ... -42.83 eV per cell

Entry 8:
The following is a PBE-GGA calculation of a relaxed ZrS2 crystal, from OQMD via LeMat-Bulk.

abc: 5.7504 6.3821 3.6912
angles: 90.00 90.00 90.00
With the nearest neighbours (Å) after each atom.
Space group Pnnm (No. 58)
One atom of each set of equivalent atoms:
Zr 0.0000 0.0000 0.0000 (multiplicity 2)  6 S 2.55-2.62
S 0.2484 0.3447 0.0000 (multiplicity 4)  3 Zr 2.55-2.62

Calculated volume ... 135.5 Å³ per cell
Energy ... -42.03 eV per cell